## LaEu2Tm (PBE)

Data for a relaxed structure of LaEu2Tm.

Output
ΔH_f (0 K): 120 meV/atom
Symmetry: P4/mmm, No. 123
Offset from the most stable computed form: 10 meV per atom

Structure (extended XYZ):
```
4
Lattice="-1.638 -1.348 -4.935 4.847 0.741 -1.811 1.135 -5.005 0.990" Properties=species:S:1:pos:R:3 pbc="T T T"
Eu 0.567 -2.502 0.495
Eu 2.423 0.370 -0.905
Tm 2.172 -2.806 -2.878
La -0.819 -0.674 -2.467
```

## NbMo2Rh (PBE)

Data for a relaxed structure of NbMo2Rh.

Output
ΔH_f (0 K): 117 meV/atom
Symmetry: Fm-3m, No. 225
Offset from the most stable computed form: 0 meV per atom

Structure (extended XYZ):
```
4
Lattice="-1.066 1.796 3.984 -3.435 2.885 0.320 -3.789 -1.237 2.083" Properties=species:S:1:pos:R:3 pbc="T T T"
Mo -2.073 0.861 1.597
Mo -6.218 2.583 4.790
Rh -4.145 1.722 3.193
Nb 0.000 0.000 0.000
```

Question: The lowest offset from the most stable computed form belongs to which entry?
Answer: NbMo2Rh